Arrangement A

Density functional theory data (GGA-PBE) for a relaxed PrTmSc2 crystal.

Cell lengths 4.974, 4.974, 9.228 Å; angles 90.00, 90.00, 90.00 degrees
Space group I4/mmm (No. 139)
Unique sites:
1 Pr 0.000 0.000 0.000 x2
2 Tm 0.000 0.000 0.500 x2
3 Sc 0.000 0.500 0.250 x4

---

Arrangement B

Density functional theory data (GGA-PBE) for a relaxed PrTmSc2 crystal.

Cell lengths 3.896, 3.896, 7.555 Å; angles 90.00, 90.00, 90.00 degrees
Space group P4/mmm (No. 123)
Unique sites:
1 Pr 0.000 0.000 0.000 x1
2 Tm 0.000 0.000 0.500 x1
3 Sc 0.500 0.500 0.263 x2

---

arrangement A is preferred energetically. Next in line: 22 meV/atom higher.

---

Arrangement A

Density functional theory data (GGA-PBE) for a relaxed Pr3Tm6Sc crystal.

Cell lengths 12.947, 3.477, 14.166 Å; angles 90.00, 99.93, 90.00 degrees
Space group P2_1/m (No. 11)
Unique sites:
1 Pr 0.071 0.250 0.106 x2
2 Pr 0.372 0.750 0.494 x2
3 Pr 0.419 0.250 0.901 x2
4 Tm 0.114 0.250 0.482 x2
5 Tm 0.190 0.750 0.922 x2
6 Tm 0.215 0.750 0.289 x2
7 Tm 0.260 0.750 0.698 x2
8 Tm 0.343 0.250 0.124 x2
9 Tm 0.498 0.250 0.691 x2
10 Sc 0.040 0.250 0.718 x2

---

Arrangement B

Density functional theory data (GGA-PBE) for a relaxed Pr3Tm6Sc crystal.

Cell lengths 11.148, 5.011, 11.193 Å; angles 90.00, 90.37, 90.00 degrees
Space group P2_1/m (No. 11)
Unique sites:
1 Pr 0.050 0.250 0.401 x2
2 Pr 0.151 0.750 0.203 x2
3 Pr 0.253 0.250 0.000 x2
4 Tm 0.054 0.750 0.899 x2
5 Tm 0.160 0.250 0.698 x2
6 Tm 0.263 0.750 0.503 x2
7 Tm 0.354 0.750 0.798 x2
8 Tm 0.359 0.250 0.308 x2
9 Tm 0.453 0.750 0.105 x2
10 Sc 0.451 0.250 0.600 x2

---

arrangement B is preferred energetically. Next in line: 46 meV/atom higher.

---

Arrangement A

Density functional theory data (GGA-PBE) for a relaxed Pr3Tm4Sc2 crystal.

Cell lengths 14.670, 12.641, 6.141 Å; angles 90.00, 93.48, 90.00 degrees
Space group C2/c (No. 15)
Unique sites:
1 Pr 0.000 0.053 0.250 x4
2 Pr 0.096 0.280 0.604 x8
3 Tm 0.095 0.432 0.075 x8
4 Tm 0.218 0.064 0.611 x8
5 Sc 0.190 0.192 0.133 x8

---

Arrangement B

Density functional theory data (GGA-PBE) for a relaxed Pr3Tm4Sc2 crystal.

Cell lengths 6.182, 8.335, 12.116 Å; angles 104.91, 90.20, 111.68 degrees
Space group P-1 (No. 2)
Unique sites:
1 Pr 0.036 0.396 0.360 x2
2 Pr 0.302 0.280 0.974 x2
3 Pr 0.364 0.057 0.691 x2
4 Tm 0.199 0.052 0.195 x2
5 Tm 0.247 0.827 0.920 x2
6 Tm 0.411 0.500 0.747 x2
7 Tm 0.460 0.272 0.473 x2
8 Sc 0.080 0.835 0.414 x2
9 Sc 0.133 0.611 0.140 x2

---

arrangement B is preferred energetically. Next in line: 107 meV/atom higher.

---

Arrangement A

Density functional theory data (GGA-PBE) for a relaxed PrTm4Sc2 crystal.

Cell lengths 6.883, 8.313, 8.528 Å; angles 114.38, 101.78, 101.89 degrees
Space group P1 (No. 1)
Unique sites:
1 Pr 0.000 0.000 0.000 x1
2 Pr 0.084 0.765 0.574 x1
3 Tm 0.200 0.334 0.456 x1
4 Tm 0.305 0.884 0.290 x1
5 Tm 0.396 0.444 0.122 x1
6 Tm 0.499 0.999 0.987 x1
7 Tm 0.611 0.592 0.850 x1
8 Tm 0.697 0.329 0.452 x1
9 Tm 0.890 0.440 0.111 x1
10 Tm 0.971 0.174 0.711 x1
11 Sc 0.116 0.594 0.856 x1
12 Sc 0.478 0.177 0.717 x1
13 Sc 0.591 0.775 0.579 x1
14 Sc 0.789 0.881 0.283 x1

---

Arrangement B

Density functional theory data (GGA-PBE) for a relaxed PrTm4Sc2 crystal.

Cell lengths 5.535, 5.535, 15.674 Å; angles 90.00, 90.00, 90.00 degrees
Space group I4/mmm (No. 139)
Unique sites:
1 Pr 0.000 0.000 0.000 x2
2 Tm 0.000 0.000 0.188 x4
3 Tm 0.000 0.500 0.000 x4
4 Sc 0.000 0.000 0.395 x4

---

arrangement A is preferred energetically. Next in line: 732 meV/atom higher.